[1]
A relaxed CdPd2Au3 crystal. Source: Alexandria, functional PBE.

```
data_CdPd2Au3
_chemical_formula_sum 'Cd2 Pd4 Au6'
_cell_length_a 4.810
_cell_length_b 5.790
_cell_length_c 7.635
_cell_angle_alpha 79.17
_cell_angle_beta 90.00
_cell_angle_gamma 90.00
_space_group_name_H-M_alt 'P 1'
_space_group_IT_number 1
loop_
_space_group_symop_operation_xyz
'x,y,z'
loop_
_atom_site_label
_atom_site_type_symbol
_atom_site_fract_x
_atom_site_fract_y
_atom_site_fract_z
_atom_site_occupancy
Au1 Au 0.750 0.805 0.780 1
Au2 Au 0.250 0.358 0.552 1
Au3 Au 0.750 0.976 0.115 1
Au4 Au 0.750 0.642 0.448 1
Au5 Au 0.250 0.195 0.220 1
Au6 Au 0.250 0.024 0.885 1
Pd1 Pd 0.250 0.529 0.885 1
Pd2 Pd 0.250 0.861 0.552 1
Pd3 Pd 0.750 0.139 0.448 1
Pd4 Pd 0.750 0.471 0.115 1
Cd1 Cd 0.250 0.688 0.218 1
Cd2 Cd 0.750 0.312 0.782 1
```

Calculated values
ΔE_f, meV/atom: -170
Space-group type: P2_1/m
Offset from the most stable computed form, meV per atom: 19

---

[2]
A relaxed SrCuCl4 crystal. Source: Alexandria, functional PBE.

```
data_SrCuCl4
_chemical_formula_sum 'Sr2 Cu2 Cl8'
_cell_length_a 6.667
_cell_length_b 6.667
_cell_length_c 8.458
_cell_angle_alpha 113.21
_cell_angle_beta 113.21
_cell_angle_gamma 90.00
_space_group_name_H-M_alt 'P 1'
_space_group_IT_number 1
loop_
_space_group_symop_operation_xyz
'x,y,z'
loop_
_atom_site_label
_atom_site_type_symbol
_atom_site_fract_x
_atom_site_fract_y
_atom_site_fract_z
_atom_site_occupancy
Cl1 Cl 0.047 0.669 0.636 1
Cl2 Cl 0.033 0.953 0.364 1
Cl3 Cl 0.589 0.967 0.636 1
Cl4 Cl 0.419 0.839 0.136 1
Cl5 Cl 0.703 0.581 0.864 1
Cl6 Cl 0.717 0.297 0.136 1
Cl7 Cl 0.161 0.283 0.864 1
Cl8 Cl 0.331 0.411 0.364 1
Cu1 Cu 0.250 0.750 0.500 1
Cu2 Cu 0.500 0.500 0.000 1
Sr1 Sr 0.000 0.000 0.000 1
Sr2 Sr 0.750 0.250 0.500 1
```

Calculated values
Space-group type: I4_1/a
Offset from the most stable computed form, meV per atom: 6

---

[3]
A relaxed YNi3Os crystal. Source: Alexandria, functional PBE.

```
data_YNi3Os
_chemical_formula_sum 'Y1 Ni3 Os1'
_cell_length_a 4.535
_cell_length_b 4.535
_cell_length_c 4.535
_cell_angle_alpha 90.00
_cell_angle_beta 90.00
_cell_angle_gamma 90.00
_space_group_name_H-M_alt 'P 1'
_space_group_IT_number 1
loop_
_space_group_symop_operation_xyz
'x,y,z'
loop_
_atom_site_label
_atom_site_type_symbol
_atom_site_fract_x
_atom_site_fract_y
_atom_site_fract_z
_atom_site_occupancy
Ni1 Ni 0.500 0.000 0.000 1
Ni2 Ni 0.000 0.000 0.500 1
Ni3 Ni 0.000 0.500 0.000 1
Os1 Os 0.000 0.000 0.000 1
Y1 Y 0.500 0.500 0.500 1
```

Calculated values
ΔE_f, meV/atom: 530
Space-group type: Pm-3m
Offset from the most stable computed form, meV per atom: 0

---

[4]
A relaxed PuTlF4 crystal. Source: Alexandria, functional PBE.

```
data_PuTlF4
_chemical_formula_sum 'Pu2 Tl2 F8'
_cell_length_a 6.232
_cell_length_b 7.092
_cell_length_c 7.201
_cell_angle_alpha 115.26
_cell_angle_beta 110.97
_cell_angle_gamma 98.74
_space_group_name_H-M_alt 'P 1'
_space_group_IT_number 1
loop_
_space_group_symop_operation_xyz
'x,y,z'
loop_
_atom_site_label
_atom_site_type_symbol
_atom_site_fract_x
_atom_site_fract_y
_atom_site_fract_z
_atom_site_occupancy
F1 F 0.587 0.293 0.104 1
F2 F 0.609 0.057 0.305 1
F3 F 0.982 0.189 0.896 1
F4 F 0.805 0.753 0.695 1
F5 F 0.413 0.707 0.896 1
F6 F 0.391 0.943 0.695 1
F7 F 0.195 0.247 0.305 1
F8 F 0.018 0.811 0.104 1
Tl1 Tl 0.396 0.646 0.293 1
Tl2 Tl 0.604 0.354 0.707 1
Pu1 Pu 0.216 0.966 0.932 1
Pu2 Pu 0.784 0.034 0.068 1
```

Calculated values
Space-group type: C2/c
Offset from the most stable computed form, meV per atom: 122

---

[5]
A relaxed Hg2Ge2Au crystal. Source: Alexandria, functional PBE.

```
data_Hg2Ge2Au
_chemical_formula_sum 'Hg2 Ge2 Au1'
_cell_length_a 3.672
_cell_length_b 3.672
_cell_length_c 8.707
_cell_angle_alpha 77.83
_cell_angle_beta 77.83
_cell_angle_gamma 90.00
_space_group_name_H-M_alt 'P 1'
_space_group_IT_number 1
loop_
_space_group_symop_operation_xyz
'x,y,z'
loop_
_atom_site_label
_atom_site_type_symbol
_atom_site_fract_x
_atom_site_fract_y
_atom_site_fract_z
_atom_site_occupancy
Hg1 Hg 0.595 0.595 0.811 1
Hg2 Hg 0.405 0.405 0.189 1
Ge1 Ge 0.750 0.250 0.500 1
Ge2 Ge 0.250 0.750 0.500 1
Au1 Au 0.000 0.000 0.000 1
```

Calculated values
ΔE_f, meV/atom: 262
Space-group type: I4/mmm
Offset from the most stable computed form, meV per atom: 205

---

[6]
A relaxed BaYPd2 crystal. Source: Alexandria, functional PBE.

```
data_BaYPd2
_chemical_formula_sum 'Ba2 Y2 Pd4'
_cell_length_a 7.967
_cell_length_b 7.967
_cell_length_c 6.691
_cell_angle_alpha 53.46
_cell_angle_beta 53.46
_cell_angle_gamma 90.00
_space_group_name_H-M_alt 'P 1'
_space_group_IT_number 1
loop_
_space_group_symop_operation_xyz
'x,y,z'
loop_
_atom_site_label
_atom_site_type_symbol
_atom_site_fract_x
_atom_site_fract_y
_atom_site_fract_z
_atom_site_occupancy
Ba1 Ba 0.750 0.250 0.500 1
Ba2 Ba 0.000 0.000 0.000 1
Pd1 Pd 0.375 0.412 0.750 1
Pd2 Pd 0.162 0.625 0.250 1
Pd3 Pd 0.588 0.125 0.250 1
Pd4 Pd 0.875 0.838 0.750 1
Y1 Y 0.250 0.750 0.500 1
Y2 Y 0.500 0.500 0.000 1
```

Calculated values
ΔE_f, meV/atom: -324
Space-group type: I-42d
Offset from the most stable computed form, meV per atom: 364

---

[7]
A relaxed Os3WI crystal. Source: Alexandria, functional PBE.

```
data_Os3WI
_chemical_formula_sum 'Os3 W1 I1'
_cell_length_a 4.815
_cell_length_b 4.815
_cell_length_c 4.815
_cell_angle_alpha 90.00
_cell_angle_beta 90.00
_cell_angle_gamma 90.00
_space_group_name_H-M_alt 'P 1'
_space_group_IT_number 1
loop_
_space_group_symop_operation_xyz
'x,y,z'
loop_
_atom_site_label
_atom_site_type_symbol
_atom_site_fract_x
_atom_site_fract_y
_atom_site_fract_z
_atom_site_occupancy
Os1 Os 0.500 0.000 0.000 1
Os2 Os 0.000 0.500 0.000 1
Os3 Os 0.000 0.000 0.500 1
I1 I 0.500 0.500 0.500 1
W1 W 0.000 0.000 0.000 1
```

Calculated values
Space-group type: Pm-3m
Offset from the most stable computed form, meV per atom: 0

---

[8]
A relaxed CaMnFe2 crystal. Source: Alexandria, functional PBE.

```
data_CaMnFe2
_chemical_formula_sum 'Ca1 Mn1 Fe2'
_cell_length_a 3.986
_cell_length_b 2.799
_cell_length_c 6.263
_cell_angle_alpha 76.00
_cell_angle_beta 90.00
_cell_angle_gamma 90.00
_space_group_name_H-M_alt 'P 1'
_space_group_IT_number 1
loop_
_space_group_symop_operation_xyz
'x,y,z'
loop_
_atom_site_label
_atom_site_type_symbol
_atom_site_fract_x
_atom_site_fract_y
_atom_site_fract_z
_atom_site_occupancy
Fe1 Fe 0.000 0.042 0.068 1
Fe2 Fe 0.500 0.195 0.245 1
Ca1 Ca 0.500 0.765 0.762 1
Mn1 Mn 0.000 0.498 0.426 1
```

Calculated values
ΔE_f, meV/atom: 473
Space-group type: Pm
Offset from the most stable computed form, meV per atom: 124

---

[9]
A relaxed TiNiSb2I crystal. Source: Alexandria, functional PBE.

```
data_TiNiSb2I
_chemical_formula_sum 'Ti1 Ni1 Sb2 I1'
_cell_length_a 5.283
_cell_length_b 5.283
_cell_length_c 5.334
_cell_angle_alpha 90.00
_cell_angle_beta 90.00
_cell_angle_gamma 90.00
_space_group_name_H-M_alt 'P 1'
_space_group_IT_number 1
loop_
_space_group_symop_operation_xyz
'x,y,z'
loop_
_atom_site_label
_atom_site_type_symbol
_atom_site_fract_x
_atom_site_fract_y
_atom_site_fract_z
_atom_site_occupancy
Ti1 Ti 0.000 0.000 0.000 1
Sb1 Sb 0.500 0.000 0.000 1
Sb2 Sb 0.000 0.500 0.000 1
Ni1 Ni 0.500 0.500 0.500 1
I1 I 0.000 0.000 0.500 1
```

Calculated values
Space-group type: P4/mmm
Offset from the most stable computed form, meV per atom: 168

---

[10]
A relaxed SmDyScSn crystal. Source: Alexandria, functional PBE.

```
data_SmDyScSn
_chemical_formula_sum 'Sm1 Dy1 Sc1 Sn1'
_cell_length_a 5.349
_cell_length_b 5.349
_cell_length_c 5.349
_cell_angle_alpha 60.00
_cell_angle_beta 60.00
_cell_angle_gamma 60.00
_space_group_name_H-M_alt 'P 1'
_space_group_IT_number 1
loop_
_space_group_symop_operation_xyz
'x,y,z'
loop_
_atom_site_label
_atom_site_type_symbol
_atom_site_fract_x
_atom_site_fract_y
_atom_site_fract_z
_atom_site_occupancy
Sc1 Sc 0.750 0.750 0.750 1
Sn1 Sn 0.250 0.250 0.250 1
Sm1 Sm 0.500 0.500 0.500 1
Dy1 Dy 0.000 0.000 0.000 1
```

Calculated values
ΔE_f, meV/atom: -257
Space-group type: F-43m

---

[11]
A relaxed CoRuAu2 crystal. Source: Alexandria, functional PBE.

```
data_CoRuAu2
_chemical_formula_sum 'Co2 Ru2 Au4'
_cell_length_a 7.201
_cell_length_b 7.201
_cell_length_c 5.736
_cell_angle_alpha 51.12
_cell_angle_beta 51.12
_cell_angle_gamma 90.00
_space_group_name_H-M_alt 'P 1'
_space_group_IT_number 1
loop_
_space_group_symop_operation_xyz
'x,y,z'
loop_
_atom_site_label
_atom_site_type_symbol
_atom_site_fract_x
_atom_site_fract_y
_atom_site_fract_z
_atom_site_occupancy
Au1 Au 0.375 0.395 0.750 1
Au2 Au 0.145 0.625 0.250 1
Au3 Au 0.605 0.125 0.250 1
Au4 Au 0.875 0.855 0.750 1
Ru1 Ru 0.750 0.250 0.500 1
Ru2 Ru 0.000 0.000 0.000 1
Co1 Co 0.500 0.500 0.000 1
Co2 Co 0.250 0.750 0.500 1
```

Calculated values
ΔE_f, meV/atom: 767
Space-group type: I-42d

---

[12]
A relaxed Ba2Mg6CdRh crystal. Source: Alexandria, functional PBE.

```
data_Ba2Mg6CdRh
_chemical_formula_sum 'Ba2 Mg6 Cd1 Rh1'
_cell_length_a 7.512
_cell_length_b 7.512
_cell_length_c 7.511
_cell_angle_alpha 59.88
_cell_angle_beta 59.88
_cell_angle_gamma 89.99
_space_group_name_H-M_alt 'P 1'
_space_group_IT_number 1
loop_
_space_group_symop_operation_xyz
'x,y,z'
loop_
_atom_site_label
_atom_site_type_symbol
_atom_site_fract_x
_atom_site_fract_y
_atom_site_fract_z
_atom_site_occupancy
Ba1 Ba 0.250 0.750 0.500 1
Ba2 Ba 0.750 0.250 0.500 1
Cd1 Cd 0.000 0.000 0.000 1
Mg1 Mg 0.264 0.736 0.000 1
Mg2 Mg 0.736 0.264 0.000 1
Mg3 Mg 0.737 0.737 0.000 1
Mg4 Mg 0.263 0.263 0.000 1
Mg5 Mg 0.263 0.263 0.473 1
Mg6 Mg 0.737 0.737 0.527 1
Rh1 Rh 0.500 0.500 0.000 1
```

Calculated values
ΔE_f, meV/atom: -151
Space-group type: C2/m